(1)
AcCeP2 after structural relaxation, computed with PBE.

Properties
ΔH_f (0 K) in meV/atom: -1434
Density in g cm⁻³: 6.5
Volume in Å³/cell: 218
Calculated total energy in eV per atom: -6.650
Distance to the lowest polymorph of the same formula in meV/atom: 22.0

```
data_AcCeP2
_chemical_formula_sum 'Ac2 Ce2 P4'
_symmetry_space_group_name_H-M 'P 63/m m c'
_symmetry_Int_Tables_number 194
_symmetry_space_group_name_Hall '-P 6c 2c'
_cell_length_a 4.2288
_cell_length_b 4.2288
_cell_length_c 14.1053
_cell_angle_alpha 90.00
_cell_angle_beta 90.00
_cell_angle_gamma 120.00
loop_
_atom_site_label
_atom_site_type_symbol
_atom_site_fract_x
_atom_site_fract_y
_atom_site_fract_z
Ac1 Ac 0.3333 0.6667 0.2500
Ce1 Ce 0.0000 0.0000 0.0000
P1 P 0.3333 0.6667 0.6126
```



(2)
Sr3Zn3TeP2O14 after structural relaxation, computed with PBE.

Properties
Density in g cm⁻³: 4.5
Volume in Å³/cell: 322
Calculated total energy in eV per atom: -6.223
Uncorrected formation energy in meV/atom: -2213

```
data_Sr3Zn3TeP2O14
_chemical_formula_sum 'Sr3 Zn3 Te1 P2 O14'
_symmetry_space_group_name_H-M 'P 3 2 1'
_symmetry_Int_Tables_number 150
_cell_length_a 8.4181
_cell_length_b 8.4181
_cell_length_c 5.2452
_cell_angle_alpha 90.00
_cell_angle_beta 90.00
_cell_angle_gamma 120.00
loop_
_symmetry_equiv_pos_as_xyz
'x,y,z'
'-y,x-y,z'
'-x+y,-x,z'
'y,x,-z'
'x-y,-y,-z'
'-x,-x+y,-z'
loop_
_atom_site_label
_atom_site_type_symbol
_atom_site_fract_x
_atom_site_fract_y
_atom_site_fract_z
Sr1 Sr 0.0000 0.5729 0.0000
Zn1 Zn 0.0000 0.2400 0.5000
Te1 Te 0.0000 0.0000 0.0000
P1 P 0.3333 0.6667 0.4464
O1 O 0.0921 0.8715 0.7894
O2 O 0.1718 0.4874 0.3297
O3 O 0.3333 0.6667 0.7404
```



(3)
KTlMo2I after structural relaxation, computed with PBE.

Properties
Density in g cm⁻³: 3.7
Volume in Å³/cell: 250
Calculated total energy in eV per atom: -3.060
Uncorrected formation energy in meV/atom: 2275

```
data_KTlMo2I
_chemical_formula_sum 'K1 Tl1 Mo2 I1'
_symmetry_space_group_name_H-M 'P 4/m m m'
_symmetry_Int_Tables_number 123
_symmetry_space_group_name_Hall '-P 4 2'
_cell_length_a 6.140
_cell_length_b 6.140
_cell_length_c 6.626
_cell_angle_alpha 90.00
_cell_angle_beta 90.00
_cell_angle_gamma 90.00
loop_
_atom_site_label
_atom_site_type_symbol
_atom_site_fract_x
_atom_site_fract_y
_atom_site_fract_z
K1 K 0.000 0.000 0.000
Tl1 Tl 0.000 0.000 0.500
Mo1 Mo 0.000 0.500 0.000
I1 I 0.500 0.500 0.500
```



(4)
Dy5Ho after structural relaxation, computed with PBE.

Properties
ΔH_f (0 K) in meV/atom: 18
Density in g cm⁻³: 8.7
Volume in Å³/cell: 373
Calculated total energy in eV per atom: -4.580

```
data_Dy5Ho
_chemical_formula_sum 'Dy10 Ho2'
_symmetry_space_group_name_H-M 'P 1 21/m 1'
_symmetry_Int_Tables_number 11
_cell_length_a 6.116
_cell_length_b 10.573
_cell_length_c 6.116
_cell_angle_alpha 90.00
_cell_angle_beta 109.38
_cell_angle_gamma 90.00
loop_
_symmetry_equiv_pos_as_xyz
'x,y,z'
'-x,-y,-z'
'-x,y+1/2,-z'
'x,-y+1/2,z'
loop_
_atom_site_label
_atom_site_type_symbol
_atom_site_fract_x
_atom_site_fract_y
_atom_site_fract_z
Dy1 Dy 0.000 0.083 0.250
Dy2 Dy 0.000 0.250 0.750
Dy3 Dy 0.500 0.083 0.750
Ho1 Ho 0.500 0.250 0.250
```



(5)
Sc2Be after structural relaxation, computed with PBE.

Properties
ΔH_f (0 K) in meV/atom: -31
Density in g cm⁻³: 2.9
Volume in Å³/cell: 224
Calculated total energy in eV per atom: -5.494
Distance to the lowest polymorph of the same formula in meV/atom: 0.0

```
data_Sc2Be
_chemical_formula_sum 'Sc8 Be4'
_symmetry_space_group_name_H-M 'P n m a'
_symmetry_Int_Tables_number 62
_cell_length_a 6.065
_cell_length_b 4.537
_cell_length_c 8.147
_cell_angle_alpha 90.00
_cell_angle_beta 90.00
_cell_angle_gamma 90.00
loop_
_symmetry_equiv_pos_as_xyz
'x,y,z'
'-x,-y,-z'
'-x+1/2,-y,z+1/2'
'x+1/2,y,-z+1/2'
'x+1/2,-y+1/2,-z+1/2'
'-x+1/2,y+1/2,z+1/2'
'-x,y+1/2,-z'
'x,-y+1/2,z'
loop_
_atom_site_label
_atom_site_type_symbol
_atom_site_fract_x
_atom_site_fract_y
_atom_site_fract_z
Sc1 Sc 0.017 0.250 0.192
Sc2 Sc 0.168 0.250 0.577
Be1 Be 0.226 0.250 0.902
```



(6)
PmCdInCl6 after structural relaxation, computed with PBE.

Properties
Density in g cm⁻³: 3.3
Volume in Å³/cell: 596
Calculated total energy in eV per atom: -3.725
Uncorrected formation energy in meV/atom: -1560

```
data_PmCdInCl6
_chemical_formula_sum 'Pm2 Cd2 In2 Cl12'
_symmetry_space_group_name_H-M 'P -3 1 c'
_symmetry_Int_Tables_number 163
_symmetry_space_group_name_Hall '-P 3 2c'
_cell_length_a 7.0479
_cell_length_b 7.0479
_cell_length_c 13.8565
_cell_angle_alpha 90.00
_cell_angle_beta 90.00
_cell_angle_gamma 120.00
loop_
_atom_site_label
_atom_site_type_symbol
_atom_site_fract_x
_atom_site_fract_y
_atom_site_fract_z
Pm1 Pm 0.3333 0.6667 0.2500
Cd1 Cd 0.3333 0.6667 0.7500
In1 In 0.0000 0.0000 0.0000
Cl1 Cl 0.0067 0.3731 0.6393
```



(7)
Cs3K3Rb2Na after structural relaxation, computed with PBE.

Properties
ΔH_f (0 K) in meV/atom: 15
Density in g cm⁻³: 1.5
Volume in Å³/cell: 764
Calculated total energy in eV per atom: -0.997

```
data_Cs3K3Rb2Na
_chemical_formula_sum 'Cs3 K3 Rb2 Na1'
_symmetry_space_group_name_H-M 'P -6 2 m'
_symmetry_Int_Tables_number 189
_symmetry_space_group_name_Hall 'P -6 -2'
_cell_length_a 13.1908
_cell_length_b 13.1908
_cell_length_c 5.0698
_cell_angle_alpha 90.00
_cell_angle_beta 90.00
_cell_angle_gamma 120.00
loop_
_atom_site_label
_atom_site_type_symbol
_atom_site_fract_x
_atom_site_fract_y
_atom_site_fract_z
Cs1 Cs 0.0000 0.7304 0.0000
K1 K 0.0000 0.3686 0.5000
Rb1 Rb 0.3333 0.6667 0.0000
Na1 Na 0.0000 0.0000 0.5000
```



(8)
NdDy4Er15 after structural relaxation, computed with PBE.

Properties
ΔH_f (0 K) in meV/atom: 22
Density in g cm⁻³: 8.9
Volume in Å³/cell: 617
Calculated total energy in eV per atom: -4.559

```
data_NdDy4Er15
_chemical_formula_sum 'Nd1 Dy4 Er15'
_symmetry_space_group_name_H-M 'P 4/m m m'
_symmetry_Int_Tables_number 123
_symmetry_space_group_name_Hall '-P 4 2'
_cell_length_a 4.980
_cell_length_b 4.980
_cell_length_c 24.880
_cell_angle_alpha 90.00
_cell_angle_beta 90.00
_cell_angle_gamma 90.00
loop_
_atom_site_label
_atom_site_type_symbol
_atom_site_fract_x
_atom_site_fract_y
_atom_site_fract_z
Nd1 Nd 0.000 0.000 0.000
Dy1 Dy 0.000 0.000 0.201
Dy2 Dy 0.000 0.000 0.400
Er1 Er 0.000 0.500 0.101
Er2 Er 0.000 0.500 0.301
Er3 Er 0.000 0.500 0.500
Er4 Er 0.500 0.500 0.000
Er5 Er 0.500 0.500 0.201
Er6 Er 0.500 0.500 0.400
```



(9)
Rb3Ca2PbF9 after structural relaxation, computed with PBE.

Properties
Density in g cm⁻³: 4.0
Volume in Å³/cell: 297
Calculated total energy in eV per atom: -4.970
Uncorrected formation energy in meV/atom: -3140

```
data_Rb3Ca2PbF9
_chemical_formula_sum 'Rb3 Ca2 Pb1 F9'
_symmetry_space_group_name_H-M 'P -3 m 1'
_symmetry_Int_Tables_number 164
_symmetry_space_group_name_Hall '-P 3 2"'
_cell_length_a 6.5345
_cell_length_b 6.5345
_cell_length_c 8.0424
_cell_angle_alpha 90.00
_cell_angle_beta 90.00
_cell_angle_gamma 120.00
loop_
_atom_site_label
_atom_site_type_symbol
_atom_site_fract_x
_atom_site_fract_y
_atom_site_fract_z
Rb1 Rb 0.0000 0.0000 0.0000
Rb2 Rb 0.3333 0.6667 0.6703
Ca1 Ca 0.3333 0.6667 0.1560
Pb1 Pb 0.0000 0.0000 0.5000
F1 F 0.0000 0.5000 0.0000
F2 F 0.1729 0.3458 0.3212
```



(10)
Y2MgOs after structural relaxation, computed with PBE.

Properties
ΔH_f (0 K) in meV/atom: 90
Density in g cm⁻³: 6.8
Volume in Å³/cell: 96
Calculated total energy in eV per atom: -6.348

```
data_Y2MgOs
_chemical_formula_sum 'Y2 Mg1 Os1'
_symmetry_space_group_name_H-M 'P 4 m m'
_symmetry_Int_Tables_number 99
_cell_length_a 3.389
_cell_length_b 3.389
_cell_length_c 8.364
_cell_angle_alpha 90.00
_cell_angle_beta 90.00
_cell_angle_gamma 90.00
loop_
_symmetry_equiv_pos_as_xyz
'x,y,z'
'-y,x,z'
'-x,-y,z'
'y,-x,z'
'-x,y,z'
'y,x,z'
'x,-y,z'
'-y,-x,z'
loop_
_atom_site_label
_atom_site_type_symbol
_atom_site_fract_x
_atom_site_fract_y
_atom_site_fract_z
Y1 Y 0.000 0.000 0.000
Y2 Y 0.500 0.500 0.362
Mg1 Mg 0.000 0.000 0.639
Os1 Os 0.500 0.500 0.805
```



(11)
ZrCrOs2 after structural relaxation, computed with PBE.

Properties
ΔH_f (0 K) in meV/atom: 172
Density in g cm⁻³: 13.6
Volume in Å³/cell: 64
Calculated total energy in eV per atom: -9.986

```
data_ZrCrOs2
_chemical_formula_sum 'Zr1 Cr1 Os2'
_symmetry_space_group_name_H-M 'P m m 2'
_symmetry_Int_Tables_number 25
_cell_length_a 2.834
_cell_length_b 3.953
_cell_length_c 5.694
_cell_angle_alpha 90.00
_cell_angle_beta 90.00
_cell_angle_gamma 90.00
loop_
_symmetry_equiv_pos_as_xyz
'x,y,z'
'-x,-y,z'
'-x,y,z'
'x,-y,z'
loop_
_atom_site_label
_atom_site_type_symbol
_atom_site_fract_x
_atom_site_fract_y
_atom_site_fract_z
Zr1 Zr 0.000 0.000 0.000
Cr1 Cr 0.500 0.500 0.289
Os1 Os 0.000 0.000 0.497
Os2 Os 0.500 0.500 0.730
```



(12)
U6CrN12 after structural relaxation, computed with PBE.

Properties
Density in g cm⁻³: 10.9
Volume in Å³/cell: 753
Calculated total energy in eV per atom: -10.556
Uncorrected formation energy in meV/atom: -1227

```
data_U6CrN12
_chemical_formula_sum 'U18 Cr3 N36'
_symmetry_space_group_name_H-M 'R -3'
_symmetry_Int_Tables_number 148
_symmetry_space_group_name_Hall '-R 3'
_cell_length_a 9.7653
_cell_length_b 9.7653
_cell_length_c 9.1134
_cell_angle_alpha 90.00
_cell_angle_beta 90.00
_cell_angle_gamma 120.00
loop_
_atom_site_label
_atom_site_type_symbol
_atom_site_fract_x
_atom_site_fract_y
_atom_site_fract_z
U1 U 0.0534 0.7947 0.1622
Cr1 Cr 0.0000 0.0000 0.5000
N1 N 0.0338 0.8063 0.9028
N2 N 0.0425 0.8310 0.3962
```



(13)
Na6Sr12Ca after structural relaxation, computed with PBE.

Properties
ΔH_f (0 K) in meV/atom: 44
Density in g cm⁻³: 2.2
Volume in Å³/cell: 2809
Calculated total energy in eV per atom: -1.540
Distance to the lowest polymorph of the same formula in meV/atom: 0.0

```
data_Na6Sr12Ca
_chemical_formula_sum 'Na18 Sr36 Ca3'
_symmetry_space_group_name_H-M 'R -3'
_symmetry_Int_Tables_number 148
_symmetry_space_group_name_Hall '-R 3'
_cell_length_a 17.9300
_cell_length_b 17.9300
_cell_length_c 10.0901
_cell_angle_alpha 90.00
_cell_angle_beta 90.00
_cell_angle_gamma 120.00
loop_
_atom_site_label
_atom_site_type_symbol
_atom_site_fract_x
_atom_site_fract_y
_atom_site_fract_z
Na1 Na 0.0327 0.2797 0.3285
Sr1 Sr 0.0112 0.1380 0.6662
Sr2 Sr 0.0676 0.5650 0.6688
Ca1 Ca 0.0000 0.0000 0.0000
```



(14)
Ba2HgTeO6 after structural relaxation, computed with PBE.

Properties
Density in g cm⁻³: 7.2
Volume in Å³/cell: 320
Calculated total energy in eV per atom: -5.411
Uncorrected formation energy in meV/atom: -1708

```
data_Ba2HgTeO6
_chemical_formula_sum 'Ba4 Hg2 Te2 O12'
_symmetry_space_group_name_H-M 'C 1 2/m 1'
_symmetry_Int_Tables_number 12
_cell_length_a 10.258
_cell_length_b 6.171
_cell_length_c 6.360
_cell_angle_alpha 90.00
_cell_angle_beta 127.28
_cell_angle_gamma 90.00
loop_
_symmetry_equiv_pos_as_xyz
'x,y,z'
'-x,-y,-z'
'-x,y,-z'
'x,-y,z'
'x+1/2,y+1/2,z'
'-x+1/2,-y+1/2,-z'
'-x+1/2,y+1/2,-z'
'x+1/2,-y+1/2,z'
loop_
_atom_site_label
_atom_site_type_symbol
_atom_site_fract_x
_atom_site_fract_y
_atom_site_fract_z
Ba1 Ba 0.249 0.000 0.248
Hg1 Hg 0.000 0.000 0.500
Te1 Te 0.000 0.500 0.000
O1 O 0.038 0.277 0.825
O2 O 0.238 0.500 0.314
```



(15)
SrLi2In2 after structural relaxation, computed with PBE.

Properties
ΔH_f (0 K) in meV/atom: -259
Density in g cm⁻³: 4.5
Volume in Å³/cell: 246
Calculated total energy in eV per atom: -2.456
Distance to the lowest polymorph of the same formula in meV/atom: 7.3

```
data_SrLi2In2
_chemical_formula_sum 'Sr2 Li4 In4'
_symmetry_space_group_name_H-M 'P 4/m b m'
_symmetry_Int_Tables_number 127
_symmetry_space_group_name_Hall '-P 4 2ab'
_cell_length_a 8.514
_cell_length_b 8.514
_cell_length_c 3.397
_cell_angle_alpha 90.00
_cell_angle_beta 90.00
_cell_angle_gamma 90.00
loop_
_atom_site_label
_atom_site_type_symbol
_atom_site_fract_x
_atom_site_fract_y
_atom_site_fract_z
Sr1 Sr 0.000 0.000 0.000
Li1 Li 0.120 0.380 0.000
In1 In 0.172 0.672 0.500
```



(16)
AgMoRh2 after structural relaxation, computed with PBE.

Properties
ΔH_f (0 K) in meV/atom: 168
Density in g cm⁻³: 11.1
Volume in Å³/cell: 123
Calculated total energy in eV per atom: -6.928
Distance to the lowest polymorph of the same formula in meV/atom: 197.1

```
data_AgMoRh2
_chemical_formula_sum 'Ag2 Mo2 Rh4'
_symmetry_space_group_name_H-M 'C 1 m 1'
_symmetry_Int_Tables_number 8
_cell_length_a 9.380
_cell_length_b 2.793
_cell_length_c 4.769
_cell_angle_alpha 90.00
_cell_angle_beta 100.90
_cell_angle_gamma 90.00
loop_
_symmetry_equiv_pos_as_xyz
'x,y,z'
'x,-y,z'
'x+1/2,y+1/2,z'
'x+1/2,-y+1/2,z'
loop_
_atom_site_label
_atom_site_type_symbol
_atom_site_fract_x
_atom_site_fract_y
_atom_site_fract_z
Ag1 Ag 0.000 0.000 0.000
Mo1 Mo 0.238 0.000 0.706
Rh1 Rh 0.255 0.500 0.230
Rh2 Rh 0.496 0.000 0.504
```



(17)
Ba7Sr5Mo4N16 after structural relaxation, computed with PBE.

Properties
Density in g cm⁻³: 5.1
Volume in Å³/cell: 1314
Calculated total energy in eV per atom: -7.103
Uncorrected formation energy in meV/atom: -903

```
data_Ba7Sr5Mo4N16
_chemical_formula_sum 'Ba14 Sr10 Mo8 N32'
_symmetry_space_group_name_H-M 'P 1 21 1'
_symmetry_Int_Tables_number 4
_cell_length_a 10.119
_cell_length_b 10.691
_cell_length_c 12.146
_cell_angle_alpha 90.00
_cell_angle_beta 90.01
_cell_angle_gamma 90.00
loop_
_symmetry_equiv_pos_as_xyz
'x,y,z'
'-x,y+1/2,-z'
loop_
_atom_site_label
_atom_site_type_symbol
_atom_site_fract_x
_atom_site_fract_y
_atom_site_fract_z
Ba1 Ba 0.047 0.000 0.377
Ba2 Ba 0.051 0.502 0.118
Ba3 Ba 0.126 0.804 0.642
Ba4 Ba 0.372 0.742 0.354
Ba5 Ba 0.375 0.244 0.145
Ba6 Ba 0.442 0.046 0.884
Ba7 Ba 0.448 0.545 0.617
Sr1 Sr 0.132 0.308 0.866
Sr2 Sr 0.216 0.897 0.105
Sr3 Sr 0.217 0.395 0.394
Sr4 Sr 0.282 0.649 0.897
Sr5 Sr 0.283 0.150 0.606
Mo1 Mo 0.042 0.677 0.381
Mo2 Mo 0.045 0.176 0.112
Mo3 Mo 0.452 0.368 0.884
Mo4 Mo 0.456 0.868 0.617
N1 N 0.053 0.542 0.827
N2 N 0.058 0.049 0.684
N3 N 0.069 0.780 0.970
N4 N 0.072 0.280 0.535
N5 N 0.121 0.779 0.273
N6 N 0.123 0.275 0.223
N7 N 0.173 0.613 0.477
N8 N 0.177 0.116 0.015
N9 N 0.323 0.433 0.981
N10 N 0.326 0.933 0.520
N11 N 0.365 0.267 0.779
N12 N 0.373 0.764 0.722
N13 N 0.429 0.266 0.466
N14 N 0.431 0.765 0.035
N15 N 0.444 0.494 0.315
N16 N 0.446 0.994 0.184
```